[1]
A plane-wave DFT calculation with PBE was carried out for an optimized crystal structure of CrCo3Ni2.

Computed properties:
E_tot: -84.55 eV/cell
Energy of formation: 0.038 eV per atom

Lattice parameters (Å, degrees): 4.9724 4.9848 6.5985 79.71 67.95 60.14
Closest atoms and distances in Å follow each position.
Element x y z (fractional)
1 Cr 0.0837 0.1678 0.1653  4 Ni 2.47-2.49, 8 Co 2.48-2.51
2 Cr 0.9163 0.8322 0.8347  4 Ni 2.47-2.49, 8 Co 2.48-2.51
3 Co 0.0820 0.6687 0.1660  5 Ni 2.48-2.53, 4 Co 2.48-2.50, 3 Cr 2.48-2.49
4 Co 0.2509 0.9999 0.4998  4 Co 2.48-2.49, 6 Ni 2.49-2.52, 2 Cr 2.51
5 Co 0.4161 0.3314 0.8341  5 Ni 2.48-2.53, 4 Co 2.48-2.50, 3 Cr 2.48-2.50
6 Co 0.5839 0.6686 0.1659  5 Ni 2.48-2.53, 4 Co 2.48-2.50, 3 Cr 2.48-2.50
7 Co 0.7491 0.0001 0.5002  4 Co 2.48-2.49, 6 Ni 2.49-2.52, 2 Cr 2.51
8 Co 0.9180 0.3313 0.8340  5 Ni 2.48-2.53, 4 Co 2.48-2.50, 3 Cr 2.48-2.49
9 Ni 0.2481 0.4997 0.5040  1 Cr 2.47, 8 Co 2.48-2.53, 3 Ni 2.49-2.51
10 Ni 0.4165 0.8301 0.8366  3 Cr 2.47-2.49, 8 Co 2.48-2.52, 1 Ni 2.51
11 Ni 0.5835 0.1699 0.1634  3 Cr 2.47-2.49, 8 Co 2.48-2.52, 1 Ni 2.51
12 Ni 0.7519 0.5003 0.4960  1 Cr 2.47, 8 Co 2.48-2.53, 3 Ni 2.49-2.51



[2]
A plane-wave DFT calculation with PBE was carried out for an optimized crystal structure of CrCo2Ni.

Computed properties:
E_tot: -115.78 eV/cell
Energy of formation: 0.168 eV per atom

Lattice parameters (Å, degrees): 5.5788 5.5788 5.5788 90.00 90.00 90.00
Closest atoms and distances in Å follow each position.
Element x y z (fractional)
1 Cr 0.0000 0.0000 0.0000  8 Co 2.42
2 Cr 0.0000 0.5000 0.5000  8 Co 2.42
3 Cr 0.5000 0.0000 0.5000  8 Co 2.42
4 Cr 0.5000 0.5000 0.0000  8 Co 2.42
5 Co 0.2500 0.2500 0.2500  4 Cr 2.42, 4 Ni 2.42
6 Co 0.2500 0.2500 0.7500  4 Cr 2.42, 4 Ni 2.42
7 Co 0.2500 0.7500 0.2500  4 Cr 2.42, 4 Ni 2.42
8 Co 0.2500 0.7500 0.7500  4 Cr 2.42, 4 Ni 2.42
9 Co 0.7500 0.2500 0.2500  4 Cr 2.42, 4 Ni 2.42
10 Co 0.7500 0.2500 0.7500  4 Cr 2.42, 4 Ni 2.42
11 Co 0.7500 0.7500 0.2500  4 Cr 2.42, 4 Ni 2.42
12 Co 0.7500 0.7500 0.7500  4 Cr 2.42, 4 Ni 2.42
13 Ni 0.0000 0.0000 0.5000  8 Co 2.42
14 Ni 0.0000 0.5000 0.0000  8 Co 2.42
15 Ni 0.5000 0.0000 0.0000  8 Co 2.42
16 Ni 0.5000 0.5000 0.5000  8 Co 2.42



[3]
A plane-wave DFT calculation with PBE was carried out for an optimized crystal structure of Cr2Co9Ni.

Computed properties:
E_tot: -88.67 eV/cell
Energy of formation: 0.026 eV per atom

Lattice parameters (Å, degrees): 3.5240 3.5240 10.5562 90.00 90.00 90.00
Closest atoms and distances in Å follow each position.
Element x y z (fractional)
1 Cr 0.0000 0.0000 0.1675  12 Co 2.49-2.50
2 Cr 0.0000 0.0000 0.8325  12 Co 2.49-2.50
3 Co 0.0000 0.5000 0.0000  8 Co 2.48-2.49, 4 Cr 2.50
4 Co 0.0000 0.5000 0.3337  2 Cr 2.49, 8 Co 2.49-2.50, 2 Ni 2.49
5 Co 0.0000 0.5000 0.6663  2 Cr 2.49, 8 Co 2.49-2.50, 2 Ni 2.49
6 Co 0.5000 0.0000 0.0000  8 Co 2.48-2.49, 4 Cr 2.50
7 Co 0.5000 0.0000 0.3337  2 Cr 2.49, 8 Co 2.49-2.50, 2 Ni 2.49
8 Co 0.5000 0.0000 0.6663  2 Cr 2.49, 8 Co 2.49-2.50, 2 Ni 2.49
9 Co 0.5000 0.5000 0.1659  8 Co 2.48-2.50, 4 Cr 2.49
10 Co 0.5000 0.5000 0.5000  8 Co 2.49, 4 Ni 2.49
11 Co 0.5000 0.5000 0.8341  8 Co 2.48-2.50, 4 Cr 2.49
12 Ni 0.0000 0.0000 0.5000  12 Co 2.49



[4]
A plane-wave DFT calculation with PBE was carried out for an optimized crystal structure of CrCoNi.

Computed properties:
E_tot: -44.30 eV/cell
Energy of formation: 0.121 eV per atom

Lattice parameters (Å, degrees): 2.9381 2.9381 7.6758 90.00 90.00 90.00
Closest atoms and distances in Å follow each position.
Element x y z (fractional)
1 Cr 0.0000 0.0000 0.0000  5 Co 2.41-2.61, 5 Ni 2.44-2.56
2 Cr 0.5000 0.5000 0.5000  5 Co 2.41-2.61, 5 Ni 2.44-2.56
3 Co 0.0000 0.0000 0.3405  5 Cr 2.41-2.61, 5 Ni 2.47-2.51
4 Co 0.5000 0.5000 0.8405  5 Cr 2.41-2.61, 5 Ni 2.47-2.51
5 Ni 0.0000 0.0000 0.6671  5 Cr 2.44-2.56, 5 Co 2.47-2.51
6 Ni 0.5000 0.5000 0.1671  5 Cr 2.44-2.56, 5 Co 2.47-2.51